# 1
{
  "formula": "TbCdHgBi",
  "functional": "PBE",
  "state": "relaxed",
  "lattice_angstrom": [[7.564, 0.000, 0.000], [0.000, 7.564, 0.000], [0.000, 0.000, 7.564]],
  "species": ["Tb", "Tb", "Tb", "Tb", "Cd", "Cd", "Cd", "Cd", "Hg", "Hg", "Hg", "Hg", "Bi", "Bi", "Bi", "Bi"],
  "frac_coords": [[0.000, 0.000, 0.000], [0.000, 0.500, 0.500], [0.500, 0.000, 0.500], [0.500, 0.500, 0.000], [0.000, 0.000, 0.500], [0.000, 0.500, 0.000], [0.500, 0.000, 0.000], [0.500, 0.500, 0.500], [0.250, 0.250, 0.250], [0.250, 0.750, 0.750], [0.750, 0.250, 0.750], [0.750, 0.750, 0.250], [0.250, 0.250, 0.750], [0.250, 0.750, 0.250], [0.750, 0.250, 0.250], [0.750, 0.750, 0.750]],
  "vol_a3_per_atom": 27.05,
  "space_group": "F-43m (216)",
  "de_polymorph_ev_per_atom": 0.165,
  "e_form_ev_per_atom": -0.248,
  "total_magnetization_mub_per_fu": 0.00
}


# 2
{
  "formula": "CePu3Os2",
  "functional": "PBE",
  "state": "relaxed",
  "lattice_angstrom": [[5.285, -4.350, 0.000], [5.285, 4.350, 0.000], [0.000, 0.000, 5.768]],
  "species": ["Ce", "Ce", "Pu", "Pu", "Pu", "Pu", "Pu", "Pu", "Os", "Os", "Os", "Os"],
  "frac_coords": [[0.125, 0.875, 0.750], [0.875, 0.125, 0.250], [0.094, 0.582, 0.250], [0.418, 0.906, 0.250], [0.475, 0.525, 0.250], [0.525, 0.475, 0.750], [0.582, 0.094, 0.750], [0.906, 0.418, 0.750], [0.228, 0.228, 0.000], [0.228, 0.228, 0.500], [0.772, 0.772, 0.000], [0.772, 0.772, 0.500]],
  "vol_a3_per_atom": 22.10,
  "space_group": "Cmcm (63)",
  "e_form_ev_per_atom": -0.007,
  "total_magnetization_mub_per_fu": 4.40
}